(1)
DFT (GGA-PBE) results for a relaxed structure of Er2B4Ir3.

Results
The density of states at the Fermi level is 15.74 states/eV/cell. The calculation puts the raw total energy at -259.23 eV/cell.

a b c (Å): 5.5332 9.2191 9.7514
angles (deg): 90.00 90.00 90.00
Last column: nearest neighbours and their distance in Å.
Space group Fmmm (No. 69)
One atom of each set of equivalent atoms:
Er1 0.0000 0.0000 0.1536 x8  4 B 2.63-2.64
B1 0.0000 0.2140 0.3326 x16  1 B 1.74
Ir1 0.0000 0.0000 0.5000 x4  4 B 2.56, 4 Ir 2.69
Ir2 0.2500 0.2500 0.0000 x8  4 B 2.17

***

(2)
DFT (GGA-PBE) results for a relaxed structure of Er3B7Ir.

Results
The density of states at the Fermi level is 6.98 states/eV/cell. The calculation puts the raw total energy at -305.58 eV/cell.

a b c (Å): 3.4710 15.6233 9.3158
angles (deg): 90.00 90.00 90.00
Last column: nearest neighbours and their distance in Å.
Space group Cmcm (No. 63)
One atom of each set of equivalent atoms:
Er1 0.0000 0.1071 0.0594 x8  11 B 2.60-2.70
Er2 0.0000 0.2472 0.7500 x4  10 B 2.65-2.68
B1 0.0000 0.2728 0.0332 x8  3 B 1.83-1.98
B2 0.0000 0.3667 0.1515 x8  3 B 1.83-1.85
B3 0.0000 0.4537 0.7500 x4  2 B 1.77
B4 0.0000 0.4804 0.0953 x8  3 B 1.77-1.88
Ir1 0.0000 0.0526 0.7500 x4  10 B 2.31-2.33

***

(3)
DFT (GGA-PBE) results for a relaxed structure of ErB2Ir5.

Results
The density of states at the Fermi level is 11.74 states/eV/cell. The calculation puts the raw total energy at -130.73 eV/cell.

a b c (Å): 3.9463 6.3467 9.0443
angles (deg): 90.00 90.00 90.00
Last column: nearest neighbours and their distance in Å.
Space group Immm (No. 71)
One atom of each set of equivalent atoms:
Er1 0.0000 0.0000 0.0000 x2  10 Ir 3.01-3.17, 4 B 3.07
B1 0.0000 0.5000 0.2394 x4  3 Ir 2.10-2.17
Ir1 0.0000 0.2108 0.3516 x8  1 B 2.10
Ir2 0.0000 0.5000 0.0000 x2  2 B 2.17

***

(4)
DFT (GGA-PBE) results for a relaxed structure of ErBIr.

Results
The density of states at the Fermi level is 2.64 states/eV/cell. The energy above the lowest structure with this stoichiometry is 1.256 eV per formula unit. The calculation puts the raw total energy at -42.05 eV/cell.

a b c (Å): 2.9335 2.9335 10.2497
angles (deg): 90.00 90.00 90.00
Last column: nearest neighbours and their distance in Å.
Space group I4mm (No. 107)
One atom of each set of equivalent atoms:
Er1 0.0000 0.0000 0.0000 x2  4 B 2.84, 5 Ir 2.86-3.07, 4 Er 2.93
B1 0.0000 0.0000 0.3109 x2  4 Ir 2.27
Ir1 0.0000 0.0000 0.7205 x2  4 B 2.27

***

(5)
DFT (GGA-PBE) results for a relaxed structure of Er3B2Ir5.

Results
The density of states at the Fermi level is 4.44 states/eV/cell. The calculation puts the raw total energy at -158.28 eV/cell.

a b c (Å): 9.8872 9.8872 3.2080
angles (deg): 90.00 90.00 90.00
Last column: nearest neighbours and their distance in Å.
Space group P4/mbm (No. 127)
One atom of each set of equivalent atoms:
Er1 0.0000 0.0000 0.0000 x2  8 Ir 2.87, 2 Er 3.21
Er2 0.1769 0.3231 0.0000 x4  3 B 2.84-2.99, 10 Ir 2.95-3.06
B1 0.1198 0.6198 0.0000 x4  6 Ir 2.24-2.32
Ir1 0.0000 0.5000 0.5000 x2  4 B 2.32
Ir2 0.0699 0.7692 0.5000 x8  2 B 2.24

***

(6)
DFT (GGA-PBE) results for a relaxed structure of ErB3Ir3.

Results
The density of states at the Fermi level is 3.78 states/eV/cell. The energy above the lowest structure with this stoichiometry is 0.000 eV per formula unit. The calculation puts the raw total energy at -107.47 eV/cell.

a b c (Å): 5.8670 5.8670 5.8670
angles (deg): 90.00 90.00 90.00
Last column: nearest neighbours and their distance in Å.
Space group Pm-3n (No. 223)
One atom of each set of equivalent atoms:
Er1 0.0000 0.0000 0.0000 x2  12 B 3.28, 12 Ir 3.28
B1 0.0000 0.2500 0.5000 x6  4 Ir 2.07
Ir1 0.0000 0.5000 0.2500 x6  4 B 2.07

***

(7)
DFT (GGA-PBE) results for a relaxed structure of ErB4Ir12.

Results
The density of states at the Fermi level is 54.69 states/eV/cell. The calculation puts the raw total energy at -272.27 eV/cell.

a b c (Å): 7.8168 7.8168 7.8168
angles (deg): 90.00 90.00 90.00
Last column: nearest neighbours and their distance in Å.
Space group Im-3 (No. 204)
One atom of each set of equivalent atoms:
Er1 0.0000 0.0000 0.0000 x2  12 Ir 2.84
B1 0.2500 0.2500 0.2500 x8  6 Ir 2.13
Ir1 0.0000 0.3213 0.1698 x24  2 B 2.13

***

(8)
DFT (GGA-PBE) results for a relaxed structure of Er2B7Ir12.

Results
The density of states at the Fermi level is 10.71 states/eV/cell. The calculation puts the raw total energy at -170.66 eV/cell.

a b c (Å): 8.9001 8.9001 3.9723
angles (deg): 90.00 90.00 120.00
Last column: nearest neighbours and their distance in Å.
Space group P-3 (No. 147)
One atom of each set of equivalent atoms:
Er1 0.3333 0.6667 0.2548 x2  6 B 2.88-2.91, 9 Ir 2.97-3.16
B1 0.0000 0.0000 0.5000 x1  6 Ir 2.15
B2 0.1186 0.7054 0.7607 x6  3 Ir 2.13-2.20
Ir1 0.0642 0.4432 0.7502 x6  2 B 2.13-2.20
Ir2 0.0933 0.2462 0.2518 x6  2 B 2.13-2.15

***

Quick rundown of ΔH_f (0 K), same order as above: -0.27; -0.65; -0.39; -0.31; -0.78; -0.37; 0.09; -0.40 eV per atom